Entry from the Alexandria database: a geometry-optimized IrOs2Au structure (GGA-PBE).

Values from the calculation:
**Total magnetization**: 0.00 Bohr magnetons per cell
**Formation energy from the elements**: 1.989 eV per formula unit

The structure in extended XYZ format:
```
4
Lattice="-1.948 1.948 3.974 1.948 -1.948 3.974 1.948 1.948 -3.974" Properties=species:S:1:pos:R:3 pbc="T T T"
Ir 0.000 0.000 0.000
Os 1.948 0.000 1.987
Os 0.000 0.000 3.974
Au 0.000 1.948 1.987
```